CdNiOs2: relaxed, PBE.

Cell: 2.727 2.727 9.266 Å, 90.00 90.00 118.02°
Site moments in Bohr magnetons follow the coordinates.
Element x y z (fractional)
Cd  0.000  0.000  0.487  0.00
Os  0.000  0.000  0.008  0.37
Os  0.500  0.500  0.768  0.38
Ni  0.500  0.500  0.237  0.18

mass density: 15.1 g/cm3
total energy: -0.496 Ry per atom
SG: Cmm2
calculated volume: 15.2 A^3/atom